1.
ErScNi | PBE | optimized geometry

Cell: 4.558 4.558 4.558 Å, 60.00 60.00 60.00°
Positions (direct):
Er (0.250, 0.250, 0.250)
Ni (0.000, 0.000, 0.000)
Sc (0.750, 0.750, 0.750)

Calculated values
**DFT total energy**: -5.67 eV/atom
**Energy of formation from the pure elements**: -0.1812 eV per atom

=====

2.
BaCoBi | PBE | optimized geometry

Cell: 4.596 4.596 9.957 Å, 90.00 90.00 120.00°
Positions (direct):
Ba (0.000, 0.000, 0.000)
Ba (0.000, 0.000, 0.500)
Bi (0.333, 0.667, 0.250)
Bi (0.667, 0.333, 0.750)
Co (0.667, 0.333, 0.250)
Co (0.333, 0.667, 0.750)

Calculated values
**DFT total energy**: -4.52 eV/atom

=====

3.
TbPaNO | PBE | optimized geometry

Cell: 3.845 6.047 6.526 Å, 90.00 90.00 90.00°
Positions (direct):
N (0.000, 0.870, 0.339)
N (0.000, 0.370, 0.661)
O (0.500, 0.383, 0.165)
O (0.500, 0.883, 0.835)
Pa (0.000, 0.501, 0.334)
Pa (0.000, 0.001, 0.666)
Tb (0.500, 0.000, 0.173)
Tb (0.500, 0.500, 0.827)

Calculated values
**DFT total energy**: -8.22 eV/atom

=====

4.
NaTe2WAuSe | PBE | optimized geometry

Cell: 7.539 7.539 10.399 Å, 90.00 90.00 149.60°
Positions (direct):
Au (0.064, 0.936, 0.250)
Au (0.936, 0.064, 0.750)
Na (0.738, 0.262, 0.250)
Na (0.262, 0.738, 0.750)
Se (0.436, 0.564, 0.250)
Se (0.564, 0.436, 0.750)
Te (0.136, 0.864, 0.015)
Te (0.136, 0.864, 0.485)
Te (0.864, 0.136, 0.515)
Te (0.864, 0.136, 0.985)
W (0.500, 0.500, 0.000)
W (0.500, 0.500, 0.500)

Calculated values
**DFT total energy**: -4.57 eV/atom

=====

5.
TbRe2 | PBE | optimized geometry

Cell: 5.423 5.423 8.825 Å, 90.00 90.00 120.00°
Positions (direct):
Re (0.000, 0.000, 0.000)
Re (0.171, 0.342, 0.250)
Re (0.171, 0.829, 0.250)
Re (0.658, 0.829, 0.250)
Re (0.000, 0.000, 0.500)
Re (0.342, 0.171, 0.750)
Re (0.829, 0.171, 0.750)
Re (0.829, 0.658, 0.750)
Tb (0.667, 0.333, 0.063)
Tb (0.667, 0.333, 0.437)
Tb (0.333, 0.667, 0.563)
Tb (0.333, 0.667, 0.937)

Calculated values
**DFT total energy**: -10.01 eV/atom
**Energy of formation from the pure elements**: -0.1813 eV per atom

=====

6.
Er3As2 | PBE | optimized geometry

Cell: 4.029 4.029 9.408 Å, 90.00 90.00 120.00°
Positions (direct):
As (0.667, 0.333, 0.178)
As (0.333, 0.667, 0.822)
Er (0.000, 0.000, 0.000)
Er (0.333, 0.667, 0.344)
Er (0.667, 0.333, 0.656)

Calculated values
**DFT total energy**: -5.73 eV/atom

=====

7.
BeGeMo2 | PBE | optimized geometry

Cell: 4.291 4.291 4.291 Å, 60.00 60.00 60.00°
Positions (direct):
Be (0.250, 0.250, 0.250)
Ge (0.500, 0.500, 0.500)
Mo (0.000, 0.000, 0.000)
Mo (0.750, 0.750, 0.750)

Calculated values
**DFT total energy**: -7.34 eV/atom

=====

8.
CsCu3MoSe4 | PBE | optimized geometry

Cell: 6.325 6.325 6.325 Å, 90.00 90.00 90.00°
Positions (direct):
Cs (0.000, 0.000, 0.000)
Cu (0.500, 0.500, 0.000)
Cu (0.500, 0.000, 0.500)
Cu (0.000, 0.500, 0.500)
Mo (0.500, 0.500, 0.500)
Se (0.282, 0.282, 0.282)
Se (0.718, 0.718, 0.282)
Se (0.718, 0.282, 0.718)
Se (0.282, 0.718, 0.718)

Calculated values
**DFT total energy**: -4.28 eV/atom